(1)
First-principles (PBE-GGA) data for an optimized crystal structure of TmZn, as listed in OQMD via LeMat-Bulk.

Computed properties:
- space group = No. 216

Cell and atoms, written as POSCAR:
```
TmZn
1.0
0.000 3.186 3.186
3.186 0.000 3.186
3.186 3.186 0.000
Tm Zn
1 1
Cartesian
0.000 0.000 0.000
1.593 1.593 1.593
```

(2)
First-principles (PBE-GGA) data for an optimized crystal structure of Tb4CdB3, as listed in OQMD via LeMat-Bulk.

Computed properties:
- space group = No. 221

Cell and atoms, written as POSCAR:
```
Tb4CdB3
1.0
5.614 0.000 0.000
0.000 5.614 0.000
0.000 0.000 5.614
B Cd Tb
3 1 4
Cartesian
2.807 2.807 0.000
2.807 0.000 2.807
0.000 2.807 2.807
0.000 0.000 0.000
2.807 0.000 0.000
0.000 2.807 0.000
0.000 0.000 2.807
2.807 2.807 2.807
```

(3)
First-principles (PBE-GGA) data for an optimized crystal structure of La2Zr2O5, as listed in OQMD via LeMat-Bulk.

Computed properties:
- excess energy over the best structure of this formula in the dataset (eV/atom) = 0.0000
- space group = No. 123

Cell and atoms, written as POSCAR:
```
La2Zr2O5
1.0
-6.553 -2.426 2.807
0.702 -3.796 -1.642
1.944 -1.167 3.529
La O Zr
2 5 2
Cartesian
0.000 0.000 0.000
-3.277 -1.213 1.403
-1.282 -2.503 -0.122
-4.569 -3.720 1.286
-0.661 -1.188 2.464
-3.948 -2.405 3.872
-1.954 -3.695 2.347
-0.125 -3.018 1.564
-3.782 -4.372 3.130
```

(4)
First-principles (PBE-GGA) data for an optimized crystal structure of Ba2InIrS6, as listed in OQMD via LeMat-Bulk.

Computed properties:
- space group = No. 225

Cell and atoms, written as POSCAR:
```
Ba2InIrS6
1.0
6.053 -3.495 0.000
6.053 3.495 0.000
-4.035 0.000 5.707
Ba In Ir S
2 1 1 6
Cartesian
8.071 0.000 1.427
0.000 0.000 4.280
4.035 0.000 2.853
0.000 0.000 0.000
1.939 0.000 1.371
5.083 -1.815 1.371
5.083 1.815 1.371
2.987 -1.815 4.336
2.987 1.815 4.336
6.131 0.000 4.336
```

(5)
First-principles (PBE-GGA) data for an optimized crystal structure of HfNbTc2, as listed in OQMD via LeMat-Bulk.

Computed properties:
- excess energy over the best structure of this formula in the dataset (eV/atom) = 0.3909
- space group = No. 62

Cell and atoms, written as POSCAR:
```
HfNbTc2
1.0
-0.760 4.159 3.715
-1.793 -3.122 3.128
9.402 -1.637 3.755
Hf Nb Tc
4 4 8
Cartesian
-0.418 2.599 4.172
2.429 -1.627 5.222
4.421 1.027 5.377
7.267 -3.199 6.427
0.001 0.520 2.337
2.007 0.467 7.070
4.843 -1.067 3.529
6.848 -1.120 8.261
-0.135 -0.393 4.984
-0.385 1.483 6.713
2.167 0.742 3.801
2.608 -1.167 2.148
4.242 0.567 8.451
4.682 -1.342 6.798
7.235 -2.083 3.886
6.984 -0.207 5.615
```

(6)
First-principles (PBE-GGA) data for an optimized crystal structure of PmAl4Ir, as listed in OQMD via LeMat-Bulk.

Computed properties:
- space group = No. 51

Cell and atoms, written as POSCAR:
```
PmAl4Ir
1.0
7.796 0.000 0.000
0.000 4.140 0.000
0.000 0.000 6.994
Al Ir Pm
8 2 2
Cartesian
0.000 0.000 0.000
3.898 0.000 0.000
1.949 2.070 0.295
4.406 2.070 2.165
7.288 2.070 2.165
0.508 2.070 4.828
3.390 2.070 4.828
5.847 2.070 6.699
5.847 0.000 1.378
1.949 0.000 5.616
1.949 0.000 2.624
5.847 0.000 4.370
```

(7)
First-principles (PBE-GGA) data for an optimized crystal structure of ZrSeSI2, as listed in OQMD via LeMat-Bulk.

Computed properties:
- excess energy over the best structure of this formula in the dataset (eV/atom) = 0.0000
- space group = No. 2

Cell and atoms, written as POSCAR:
```
ZrSeSI2
1.0
7.353 0.000 0.000
3.629 6.406 0.000
3.649 1.588 7.690
I S Se Zr
4 2 2 2
Cartesian
7.063 5.656 1.723
2.584 3.048 1.724
12.048 4.946 5.966
7.569 2.337 5.967
6.442 1.570 0.695
8.190 6.424 6.995
10.899 6.549 2.178
3.733 1.445 5.512
1.499 0.870 0.002
13.132 7.124 7.687
```

(8)
First-principles (PBE-GGA) data for an optimized crystal structure of BaTaNO, as listed in OQMD via LeMat-Bulk.

Computed properties:
- excess energy over the best structure of this formula in the dataset (eV/atom) = 0.6414
- space group = No. 129

Cell and atoms, written as POSCAR:
```
BaTaNO
1.0
-3.402 3.013 0.146
-3.006 -3.367 -0.547
-0.380 -0.754 6.728
Ba N O Ta
2 2 2 2
Cartesian
-0.190 -0.377 3.364
-3.394 -0.554 3.163
-1.617 -1.909 1.740
-1.967 0.979 4.787
0.000 0.000 0.000
-3.204 -0.177 -0.201
-1.515 -1.708 -0.055
-2.068 0.777 6.582
```

| no. | E (eV per atom) |
| --- | --- |
| 1 | -2.229 |
| 2 | -4.473 |
| 3 | -8.572 |
| 4 | -4.818 |
| 5 | -10.244 |
| 6 | -5.447 |
| 7 | -4.774 |
| 8 | -7.685 |